Record 1
An optimized crystal structure of Sm2ZnBi, computed with PBE-GGA.

Values from the calculation:
Total energy: -14.93 eV/cell
SG: R-3m (166)

Cell and atoms, written as CIF:
```
data_Sm2ZnBi
_symmetry_space_group_name_H-M 'P 1'
_symmetry_Int_Tables_number 1
_cell_length_a 3.5723
_cell_length_b 3.5723
_cell_length_c 11.1746
_cell_angle_alpha 80.80
_cell_angle_beta 80.80
_cell_angle_gamma 60.00
loop_
_symmetry_equiv_pos_as_xyz
'x,y,z'
loop_
_atom_site_label
_atom_site_fract_x
_atom_site_fract_y
_atom_site_fract_z
Zn1 0.5000 0.5000 0.5000
Bi1 0.0000 0.0000 0.0000
Sm1 0.0980 0.0980 0.7061
Sm2 0.9020 0.9020 0.2939
```

=====

Record 2
An optimized crystal structure of KSmTi4O12, computed with PBE-GGA.

Values from the calculation:
Total energy: -140.88 eV/cell
Uncorrected formation energy: -2.44 eV/atom
SG: Amm2 (38)

Cell and atoms, written as CIF:
```
data_KSmTi4O12
_symmetry_space_group_name_H-M 'P 1'
_symmetry_Int_Tables_number 1
_cell_length_a 5.4838
_cell_length_b 5.4838
_cell_length_c 7.8247
_cell_angle_alpha 90.00
_cell_angle_beta 90.00
_cell_angle_gamma 90.03
loop_
_symmetry_equiv_pos_as_xyz
'x,y,z'
loop_
_atom_site_label
_atom_site_fract_x
_atom_site_fract_y
_atom_site_fract_z
K1 0.9963 0.0037 0.5000
Sm1 0.5127 0.4873 0.0000
Ti1 0.0044 0.5017 0.7416
Ti2 0.0044 0.5017 0.2584
Ti3 0.4983 0.9956 0.2584
Ti4 0.4983 0.9956 0.7416
O1 0.2564 0.2583 0.7705
O2 0.7417 0.7436 0.7705
O3 0.7417 0.7436 0.2295
O4 0.2564 0.2583 0.2295
O5 0.7406 0.2594 0.7579
O6 0.2604 0.7396 0.7822
O7 0.2604 0.7396 0.2178
O8 0.7406 0.2594 0.2421
O9 0.9707 0.4886 0.0000
O10 0.0075 0.5076 0.5000
O11 0.5114 0.0293 0.0000
O12 0.4924 0.9925 0.5000
```

=====

Record 3
An optimized crystal structure of ScFe3Pb, computed with PBE-GGA.

Values from the calculation:
Total energy: -29.31 eV/cell
SG: Pm-3m (221)

Cell and atoms, written as CIF:
```
data_ScFe3Pb
_symmetry_space_group_name_H-M 'P 1'
_symmetry_Int_Tables_number 1
_cell_length_a 4.5871
_cell_length_b 4.5871
_cell_length_c 4.5871
_cell_angle_alpha 90.00
_cell_angle_beta 90.00
_cell_angle_gamma 90.00
loop_
_symmetry_equiv_pos_as_xyz
'x,y,z'
loop_
_atom_site_label
_atom_site_fract_x
_atom_site_fract_y
_atom_site_fract_z
Pb1 0.5000 0.5000 0.5000
Sc1 0.0000 0.0000 0.0000
Fe1 0.0000 0.5000 0.0000
Fe2 0.0000 0.0000 0.5000
Fe3 0.5000 0.0000 0.0000
```

=====

Record 4
An optimized crystal structure of PmPrGdDy, computed with PBE-GGA.

Values from the calculation:
Total energy: -27.73 eV/cell
SG: F-43m (216)

Cell and atoms, written as CIF:
```
data_PmPrGdDy
_symmetry_space_group_name_H-M 'P 1'
_symmetry_Int_Tables_number 1
_cell_length_a 5.7687
_cell_length_b 5.7687
_cell_length_c 5.7687
_cell_angle_alpha 60.00
_cell_angle_beta 60.00
_cell_angle_gamma 60.00
loop_
_symmetry_equiv_pos_as_xyz
'x,y,z'
loop_
_atom_site_label
_atom_site_fract_x
_atom_site_fract_y
_atom_site_fract_z
Pr1 0.2500 0.2500 0.2500
Gd1 0.7500 0.7500 0.7500
Pm1 0.0000 0.0000 0.0000
Dy1 0.5000 0.5000 0.5000
```

=====

Record 5
An optimized crystal structure of CsTlRuBr6, computed with PBE-GGA.

Values from the calculation:
Total energy: -29.11 eV/cell
Uncorrected formation energy: -0.73 eV/atom
SG: P312 (149)

Cell and atoms, written as CIF:
```
data_CsTlRuBr6
_symmetry_space_group_name_H-M 'P 1'
_symmetry_Int_Tables_number 1
_cell_length_a 7.2872
_cell_length_b 7.2872
_cell_length_c 7.8980
_cell_angle_alpha 90.00
_cell_angle_beta 90.00
_cell_angle_gamma 60.00
loop_
_symmetry_equiv_pos_as_xyz
'x,y,z'
loop_
_atom_site_label
_atom_site_fract_x
_atom_site_fract_y
_atom_site_fract_z
Cs1 0.0000 0.0000 0.0000
Tl1 0.6666 0.6667 0.5000
Ru1 0.3333 0.3333 0.5000
Br1 0.0488 0.3380 0.3171
Br2 0.3380 0.0488 0.6829
Br3 0.6131 0.3380 0.6829
Br4 0.0488 0.6132 0.6829
Br5 0.3380 0.6132 0.3171
Br6 0.6132 0.0488 0.3171
```

=====

Record 6
An optimized crystal structure of PtRhAu2, computed with PBE-GGA.

Values from the calculation:
Total energy: -19.64 eV/cell
SG: R3m (160)

Cell and atoms, written as CIF:
```
data_PtRhAu2
_symmetry_space_group_name_H-M 'P 1'
_symmetry_Int_Tables_number 1
_cell_length_a 9.6547
_cell_length_b 9.6547
_cell_length_c 9.6547
_cell_angle_alpha 16.86
_cell_angle_beta 16.86
_cell_angle_gamma 16.86
loop_
_symmetry_equiv_pos_as_xyz
'x,y,z'
loop_
_atom_site_label
_atom_site_fract_x
_atom_site_fract_y
_atom_site_fract_z
Rh1 0.7522 0.7522 0.7522
Au1 0.0032 0.0032 0.0032
Au2 0.2481 0.2481 0.2481
Pt1 0.4966 0.4966 0.4966
```

=====

Record 7
An optimized crystal structure of TbInPt, computed with PBE-GGA.

Values from the calculation:
Total energy: -15.88 eV/cell
SG: P-6m2 (187)

Cell and atoms, written as CIF:
```
data_TbInPt
_symmetry_space_group_name_H-M 'P 1'
_symmetry_Int_Tables_number 1
_cell_length_a 3.5900
_cell_length_b 4.6795
_cell_length_c 4.6795
_cell_angle_alpha 120.00
_cell_angle_beta 90.00
_cell_angle_gamma 90.00
loop_
_symmetry_equiv_pos_as_xyz
'x,y,z'
loop_
_atom_site_label
_atom_site_fract_x
_atom_site_fract_y
_atom_site_fract_z
Tb1 0.6667 0.6667 0.3333
Pt1 0.1665 0.0000 0.0000
In1 0.1668 0.3333 0.6667
```

=====

Record 8
An optimized crystal structure of LiHo2Sc, computed with PBE-GGA.

Values from the calculation:
Total energy: -17.01 eV/cell
SG: R3m (160)

Cell and atoms, written as CIF:
```
data_LiHo2Sc
_symmetry_space_group_name_H-M 'P 1'
_symmetry_Int_Tables_number 1
_cell_length_a 3.3970
_cell_length_b 3.3970
_cell_length_c 11.0944
_cell_angle_alpha 81.17
_cell_angle_beta 81.17
_cell_angle_gamma 59.96
loop_
_symmetry_equiv_pos_as_xyz
'x,y,z'
loop_
_atom_site_label
_atom_site_fract_x
_atom_site_fract_y
_atom_site_fract_z
Li1 0.4998 0.4998 0.4998
Ho1 0.0825 0.0825 0.7541
Ho2 0.2512 0.2512 0.2459
Sc1 0.6666 0.6666 0.0002
```

=====

total energy of number 5 (CsTlRuBr6)?
-29.11 eV/cell